Entry from Alexandria: a relaxed structure of ScTlPd6 (PBE).

Computed properties:
* electronic total energy: -5.507 eV per atom
* E above lowest polymorph: 0.0 meV/atom
* mass density: 11.110 Mg/m³
* spin magnetization: 0.0 μB per cell
* calculated formation energy: -50.7 kJ/mol of atoms
* DOS at the Fermi energy: 7.1 states/eV/cell

a = 5.734 Å, b = 5.734 Å, c = 4.036 Å
α = 90.00°, β = 90.00°, γ = 90.00°
Positions (direct):
Sc 0.000 0.000 0.000
Tl 0.500 0.500 0.000
Pd 0.000 0.500 0.000
Pd 0.245 0.245 0.500
Pd 0.245 0.755 0.500
Pd 0.500 0.000 0.000
Pd 0.755 0.245 0.500
Pd 0.755 0.755 0.500